1.
{
  "formula": "CsMgAg3",
  "functional": "PBEsol",
  "state": "relaxed",
  "ef_mev_per_atom": 1385.0,
  "dft_energy_ev_per_atom": -1.1336,
  "magnetic_moment_mub_per_fu": 0.0,
  "sg": "Pm-3m, No. 221",
  "dos_ef_per_ev_atom": 0.989,
  "lattice": [[-3.948, 4.232, -0.029], [-2.545, -2.406, -4.608], [-3.381, -3.131, 3.502]],
  "species": ["Ag", "Ag", "Ag", "Cs", "Mg"],
  "fractional_positions": [[0.500, 0.000, 0.000], [0.000, 0.500, 0.000], [0.000, 0.000, 0.500], [0.000, 0.000, 0.000], [0.500, 0.500, 0.500]]
}

=====

2.
{
  "formula": "Sc2Ga3Cu",
  "functional": "PBEsol",
  "state": "relaxed",
  "ef_mev_per_atom": -595.0,
  "dft_energy_ev_per_atom": -5.1889,
  "magnetic_moment_mub_per_fu": 0.0,
  "sg": "Pmm2, No. 25",
  "dos_ef_per_ev_atom": 0.632,
  "lattice": [[3.192, 0.000, 0.000], [0.000, 4.240, 0.000], [0.000, 0.000, 7.349]],
  "species": ["Sc", "Sc", "Ga", "Ga", "Ga", "Cu"],
  "fractional_positions": [[0.000, 0.000, 0.003], [0.000, 0.500, 0.498], [0.500, 0.500, 0.177], [0.500, 0.500, 0.836], [0.500, 0.000, 0.656], [0.500, 0.000, 0.330]]
}

=====

3.
{
  "formula": "YCdIn",
  "functional": "PBEsol",
  "state": "relaxed",
  "ef_mev_per_atom": -502.6,
  "dft_energy_ev_per_atom": -4.1699,
  "magnetic_moment_mub_per_fu": 0.0,
  "sg": "P-6m2, No. 187",
  "dos_ef_per_ev_atom": 0.185,
  "lattice": [[-0.622, 4.574, -1.207], [-2.913, -2.046, 3.177], [4.471, 2.036, 5.411]],
  "species": ["Y", "Y", "Cd", "Cd", "In", "In"],
  "fractional_positions": [[0.333, 0.667, 0.000], [0.333, 0.667, 0.500], [0.667, 0.333, 0.205], [0.667, 0.333, 0.795], [0.000, 0.000, 0.714], [0.000, 0.000, 0.286]]
}

=====

4.
{
  "formula": "NaCu6O8",
  "functional": "PBEsol",
  "state": "relaxed",
  "dft_energy_ev_per_atom": -5.2470,
  "magnetic_moment_mub_per_fu": 0.0,
  "sg": "Fm-3m, No. 225",
  "dos_ef_per_ev_atom": 0.599,
  "formation_energy_uncorrected_ev_per_atom": -0.6204,
  "lattice": [[6.371, 0.000, 0.000], [3.185, 5.517, 0.000], [3.185, 1.839, 5.202]],
  "species": ["Cu", "Cu", "Cu", "Cu", "Cu", "Cu", "O", "O", "O", "O", "O", "O", "O", "O", "Na"],
  "fractional_positions": [[0.000, 0.000, 0.500], [0.500, 0.500, 0.000], [0.000, 0.500, 0.500], [0.000, 0.500, 0.000], [0.500, 0.000, 0.500], [0.500, 0.000, 0.000], [0.434, 0.855, 0.855], [0.855, 0.855, 0.434], [0.145, 0.145, 0.566], [0.145, 0.145, 0.145], [0.566, 0.145, 0.145], [0.145, 0.566, 0.145], [0.855, 0.434, 0.855], [0.855, 0.855, 0.855], [0.000, 0.000, 0.000]]
}

=====

5.
{
  "formula": "HgBi2Os",
  "functional": "PBEsol",
  "state": "relaxed",
  "ef_mev_per_atom": 841.8,
  "dft_energy_ev_per_atom": -4.4966,
  "magnetic_moment_mub_per_fu": 0.0,
  "sg": "I-42d, No. 122",
  "dos_ef_per_ev_atom": 0.442,
  "lattice": [[-0.893, 1.441, -6.168], [-6.215, 1.005, 1.135], [4.778, 4.927, 3.776]],
  "species": ["Bi", "Bi", "Bi", "Bi", "Hg", "Hg", "Os", "Os"],
  "fractional_positions": [[0.427, 0.875, 0.250], [0.125, 0.177, 0.750], [0.823, 0.375, 0.250], [0.625, 0.573, 0.750], [0.000, 0.000, 0.000], [0.250, 0.750, 0.500], [0.750, 0.250, 0.500], [0.500, 0.500, 0.000]]
}

=====

6.
{
  "formula": "CdFe2MoIr",
  "functional": "PBEsol",
  "state": "relaxed",
  "ef_mev_per_atom": 2475.4,
  "dft_energy_ev_per_atom": -5.6676,
  "magnetic_moment_mub_per_fu": 4.9,
  "sg": "P4/mmm, No. 123",
  "dos_ef_per_ev_atom": 2.057,
  "lattice": [[4.459, 0.000, 0.000], [0.000, 4.459, 0.000], [0.000, 0.000, 4.834]],
  "species": ["Fe", "Fe", "Cd", "Mo", "Ir"],
  "fractional_positions": [[0.500, 0.000, 0.000], [0.000, 0.500, 0.000], [0.000, 0.000, 0.000], [0.000, 0.000, 0.500], [0.500, 0.500, 0.500]]
}

=====

7.
{
  "formula": "Li2MgSi",
  "functional": "PBEsol",
  "state": "relaxed",
  "dft_energy_ev_per_atom": -3.1034,
  "magnetic_moment_mub_per_fu": 0.0,
  "sg": "F-43m, No. 216",
  "dos_ef_per_ev_atom": 0.046,
  "formation_energy_uncorrected_ev_per_atom": -0.2541,
  "lattice": [[-0.788, -3.848, 2.137], [-0.308, -3.817, -2.309], [3.228, -3.078, 0.327]],
  "species": ["Li", "Li", "Si", "Mg"],
  "fractional_positions": [[0.500, 0.500, 0.500], [0.250, 0.250, 0.250], [0.000, 0.000, 0.000], [0.750, 0.750, 0.750]]
}

=====

8.
{
  "formula": "BePb2",
  "functional": "PBEsol",
  "state": "relaxed",
  "ef_mev_per_atom": 462.6,
  "dft_energy_ev_per_atom": -3.5365,
  "magnetic_moment_mub_per_fu": 0.0,
  "de_polymorph_mev_per_atom": 61,
  "sg": "P6_3/mmc, No. 194",
  "dos_ef_per_ev_atom": 0.334,
  "lattice": [[4.310, 0.000, 0.000], [-2.155, 3.732, 0.000], [0.000, 0.000, 9.060]],
  "species": ["Be", "Be", "Pb", "Pb", "Pb", "Pb"],
  "fractional_positions": [[0.667, 0.333, 0.250], [0.333, 0.667, 0.750], [0.667, 0.333, 0.750], [0.000, 0.000, 0.500], [0.000, 0.000, 0.000], [0.333, 0.667, 0.250]]
}

=====

9.
{
  "formula": "ErSeO3F",
  "functional": "PBEsol",
  "state": "relaxed",
  "dft_energy_ev_per_atom": -6.8500,
  "magnetic_moment_mub_per_fu": 0.0,
  "sg": "P2_1/c, No. 14",
  "dos_ef_per_ev_atom": 0.000,
  "formation_energy_uncorrected_ev_per_atom": -2.4412,
  "lattice": [[6.517, 0.000, -0.027], [0.000, 6.772, 0.000], [-1.078, 0.000, 6.969]],
  "species": ["O", "O", "O", "O", "O", "O", "O", "O", "O", "O", "O", "O", "Er", "Er", "Er", "Er", "F", "F", "F", "F", "Se", "Se", "Se", "Se"],
  "fractional_positions": [[0.826, 0.464, 0.352], [0.175, 0.194, 0.784], [0.175, 0.306, 0.284], [0.516, 0.190, 0.136], [0.174, 0.536, 0.648], [0.484, 0.690, 0.364], [0.484, 0.810, 0.864], [0.825, 0.694, 0.716], [0.516, 0.310, 0.636], [0.174, 0.964, 0.148], [0.825, 0.806, 0.216], [0.826, 0.036, 0.852], [0.863, 0.142, 0.176], [0.863, 0.358, 0.676], [0.137, 0.642, 0.324], [0.137, 0.858, 0.824], [0.171, 0.889, 0.524], [0.829, 0.111, 0.476], [0.829, 0.389, 0.976], [0.171, 0.611, 0.024], [0.644, 0.617, 0.207], [0.356, 0.117, 0.293], [0.356, 0.383, 0.793], [0.644, 0.883, 0.707]]
}

=====

10.
{
  "formula": "BaHfSbTe2",
  "functional": "PBEsol",
  "state": "relaxed",
  "dft_energy_ev_per_atom": -3.6404,
  "magnetic_moment_mub_per_fu": 0.6,
  "sg": "P4/mmm, No. 123",
  "dos_ef_per_ev_atom": 1.519,
  "formation_energy_uncorrected_ev_per_atom": 1.2119,
  "lattice": [[5.909, 0.000, 0.000], [0.000, 6.021, 0.000], [0.000, 0.000, 6.021]],
  "species": ["Te", "Te", "Hf", "Sb", "Ba"],
  "fractional_positions": [[0.000, 0.000, 0.500], [0.000, 0.500, 0.000], [0.500, 0.500, 0.500], [0.500, 0.000, 0.000], [0.000, 0.000, 0.000]]
}

=====

11.
{
  "formula": "MoP2O8",
  "functional": "PBEsol",
  "state": "relaxed",
  "dft_energy_ev_per_atom": -7.9648,
  "magnetic_moment_mub_per_fu": 0.0,
  "de_polymorph_mev_per_atom": 3,
  "sg": "Pnma, No. 62",
  "formation_energy_uncorrected_ev_per_atom": -2.0243,
  "lattice": [[-4.021, -2.623, -2.010], [6.128, -7.388, -2.621], [-1.663, -4.766, 9.547]],
  "species": ["Mo", "Mo", "Mo", "Mo", "O", "O", "O", "O", "O", "O", "O", "O", "O", "O", "O", "O", "O", "O", "O", "O", "O", "O", "O", "O", "O", "O", "O", "O", "O", "O", "O", "O", "O", "O", "O", "O", "P", "P", "P", "P", "P", "P", "P", "P"],
  "fractional_positions": [[0.750, 0.125, 0.806], [0.250, 0.625, 0.694], [0.250, 0.375, 0.194], [0.750, 0.875, 0.306], [0.011, 0.058, 0.922], [0.250, 0.512, 0.281], [0.015, 0.784, 0.219], [0.511, 0.442, 0.078], [0.250, 0.299, 0.526], [0.250, 0.488, 0.781], [0.750, 0.299, 0.921], [0.515, 0.716, 0.781], [0.250, 0.954, 0.098], [0.750, 0.546, 0.902], [0.250, 0.201, 0.079], [0.485, 0.784, 0.219], [0.485, 0.216, 0.719], [0.515, 0.284, 0.281], [0.750, 0.201, 0.474], [0.250, 0.799, 0.579], [0.989, 0.558, 0.578], [0.985, 0.716, 0.781], [0.511, 0.558, 0.578], [0.015, 0.216, 0.719], [0.011, 0.942, 0.422], [0.750, 0.701, 0.421], [0.985, 0.284, 0.281], [0.250, 0.046, 0.598], [0.750, 0.988, 0.719], [0.989, 0.442, 0.078], [0.750, 0.012, 0.219], [0.750, 0.454, 0.402], [0.750, 0.799, 0.974], [0.250, 0.701, 0.026], [0.489, 0.058, 0.922], [0.489, 0.942, 0.422], [0.250, 0.075, 0.004], [0.750, 0.296, 0.371], [0.750, 0.425, 0.996], [0.250, 0.925, 0.504], [0.250, 0.796, 0.129], [0.750, 0.704, 0.871], [0.750, 0.575, 0.496], [0.250, 0.204, 0.629]]
}

=====

12.
{
  "formula": "YRe3I",
  "functional": "PBEsol",
  "state": "relaxed",
  "dft_energy_ev_per_atom": -6.4050,
  "magnetic_moment_mub_per_fu": 0.8,
  "sg": "Pm-3m, No. 221",
  "dos_ef_per_ev_atom": 1.422,
  "formation_energy_uncorrected_ev_per_atom": 3.3121,
  "lattice": [[4.811, 0.000, 0.000], [0.000, 4.811, 0.000], [0.000, 0.000, 4.811]],
  "species": ["I", "Y", "Re", "Re", "Re"],
  "fractional_positions": [[0.500, 0.500, 0.500], [0.000, 0.000, 0.000], [0.000, 0.500, 0.000], [0.500, 0.000, 0.000], [0.000, 0.000, 0.500]]
}

=====

13.
{
  "formula": "CsRb2ScF6",
  "functional": "PBEsol",
  "state": "relaxed",
  "dft_energy_ev_per_atom": -5.3544,
  "magnetic_moment_mub_per_fu": 0.0,
  "sg": "Fm-3m, No. 225",
  "dos_ef_per_ev_atom": 0.000,
  "formation_energy_uncorrected_ev_per_atom": -3.2381,
  "lattice": [[-1.784, 4.694, -4.425], [-1.093, -1.667, -6.389], [-6.223, 0.085, -2.463]],
  "species": ["F", "F", "F", "F", "F", "F", "Rb", "Rb", "Cs", "Sc"],
  "fractional_positions": [[0.788, 0.212, 0.788], [0.788, 0.788, 0.212], [0.788, 0.212, 0.212], [0.212, 0.788, 0.788], [0.212, 0.788, 0.212], [0.212, 0.212, 0.788], [0.250, 0.250, 0.250], [0.750, 0.750, 0.750], [0.500, 0.500, 0.500], [0.000, 0.000, 0.000]]
}

=====

14.
{
  "formula": "BaMoN2",
  "functional": "PBEsol",
  "state": "relaxed",
  "dft_energy_ev_per_atom": -8.3790,
  "magnetic_moment_mub_per_fu": 0.0,
  "sg": "I-42d, No. 122",
  "dos_ef_per_ev_atom": 0.717,
  "formation_energy_uncorrected_ev_per_atom": -0.6364,
  "lattice": [[-4.739, -0.662, 2.198], [2.223, -0.065, 4.773], [0.693, 5.511, -3.152]],
  "species": ["N", "N", "N", "N", "Mo", "Mo", "Ba", "Ba"],
  "fractional_positions": [[0.125, 0.281, 0.750], [0.625, 0.469, 0.750], [0.531, 0.875, 0.250], [0.719, 0.375, 0.250], [0.750, 0.250, 0.500], [0.500, 0.500, 0.000], [0.250, 0.750, 0.500], [0.000, 0.000, 0.000]]
}

=====

15.
{
  "formula": "La2H2Ir",
  "functional": "PBEsol",
  "state": "relaxed",
  "dft_energy_ev_per_atom": -5.7967,
  "magnetic_moment_mub_per_fu": 0.0,
  "de_polymorph_mev_per_atom": 210,
  "sg": "P4/mbm, No. 127",
  "dos_ef_per_ev_atom": 0.602,
  "lattice": [[-2.923, -0.200, 1.305], [-2.352, -3.254, -5.767], [1.683, -6.213, 2.819]],
  "species": ["H", "H", "H", "H", "La", "La", "La", "La", "Ir", "Ir"],
  "fractional_positions": [[0.000, 0.612, 0.112], [0.000, 0.112, 0.388], [0.000, 0.888, 0.612], [0.000, 0.388, 0.888], [0.500, 0.181, 0.681], [0.500, 0.681, 0.819], [0.500, 0.819, 0.319], [0.500, 0.319, 0.181], [0.000, 0.000, 0.000], [0.000, 0.500, 0.500]]
}

=====

16.
{
  "formula": "CsEr3Se5",
  "functional": "PBEsol",
  "state": "relaxed",
  "dft_energy_ev_per_atom": -5.7227,
  "magnetic_moment_mub_per_fu": 0.0,
  "sg": "Pnma, No. 62",
  "formation_energy_uncorrected_ev_per_atom": -1.8366,
  "lattice": [[4.049, 0.000, 0.000], [0.000, 12.170, 0.000], [0.000, 0.000, 21.723]],
  "species": ["Se", "Se", "Se", "Se", "Se", "Se", "Se", "Se", "Se", "Se", "Se", "Se", "Se", "Se", "Se", "Se", "Se", "Se", "Se", "Se", "Er", "Er", "Er", "Er", "Er", "Er", "Er", "Er", "Er", "Er", "Er", "Er", "Cs", "Cs", "Cs", "Cs"],
  "fractional_positions": [[0.750, 0.046, 0.173], [0.750, 0.454, 0.673], [0.250, 0.307, 0.802], [0.250, 0.954, 0.827], [0.750, 0.807, 0.698], [0.250, 0.193, 0.302], [0.250, 0.553, 0.069], [0.750, 0.447, 0.931], [0.750, 0.734, 0.454], [0.750, 0.693, 0.198], [0.250, 0.628, 0.815], [0.750, 0.372, 0.185], [0.750, 0.128, 0.685], [0.250, 0.234, 0.046], [0.250, 0.947, 0.569], [0.250, 0.872, 0.315], [0.250, 0.266, 0.546], [0.250, 0.546, 0.327], [0.750, 0.053, 0.431], [0.750, 0.766, 0.954], [0.250, 0.960, 0.699], [0.250, 0.892, 0.446], [0.750, 0.460, 0.801], [0.750, 0.392, 0.054], [0.750, 0.108, 0.554], [0.750, 0.799, 0.826], [0.250, 0.201, 0.174], [0.250, 0.608, 0.946], [0.750, 0.040, 0.301], [0.250, 0.299, 0.674], [0.250, 0.540, 0.199], [0.750, 0.701, 0.326], [0.750, 0.351, 0.408], [0.750, 0.149, 0.908], [0.250, 0.649, 0.592], [0.250, 0.851, 0.092]]
}

=====

17.
{
  "formula": "CdAu",
  "functional": "PBEsol",
  "state": "relaxed",
  "ef_mev_per_atom": -148.5,
  "dft_energy_ev_per_atom": -2.7090,
  "magnetic_moment_mub_per_fu": 0.0,
  "sg": "Pbcm, No. 57",
  "dos_ef_per_ev_atom": 0.294,
  "lattice": [[5.682, 0.000, 0.000], [0.000, 8.222, 0.000], [0.000, 0.000, 9.553]],
  "species": ["Au", "Au", "Au", "Au", "Au", "Au", "Au", "Au", "Au", "Au", "Au", "Au", "Cd", "Cd", "Cd", "Cd", "Cd", "Cd", "Cd", "Cd", "Cd", "Cd", "Cd", "Cd"],
  "fractional_positions": [[0.750, 0.549, 0.584], [0.250, 0.451, 0.416], [0.000, 0.750, 0.908], [0.000, 0.250, 0.092], [0.500, 0.750, 0.908], [0.750, 0.049, 0.416], [0.250, 0.889, 0.141], [0.250, 0.389, 0.859], [0.500, 0.250, 0.092], [0.250, 0.951, 0.584], [0.750, 0.111, 0.859], [0.750, 0.611, 0.141], [0.750, 0.453, 0.871], [0.500, 0.750, 0.378], [0.750, 0.953, 0.129], [0.000, 0.250, 0.622], [0.750, 0.869, 0.666], [0.250, 0.047, 0.871], [0.000, 0.750, 0.378], [0.750, 0.369, 0.334], [0.250, 0.631, 0.666], [0.250, 0.131, 0.334], [0.250, 0.547, 0.129], [0.500, 0.250, 0.622]]
}

=====

18.
{
  "formula": "MgIrRh2",
  "functional": "PBEsol",
  "state": "relaxed",
  "ef_mev_per_atom": -74.7,
  "dft_energy_ev_per_atom": -7.0291,
  "magnetic_moment_mub_per_fu": 0.0,
  "sg": "R-3m, No. 166",
  "dos_ef_per_ev_atom": 0.936,
  "lattice": [[-1.148, -2.480, 0.152], [1.411, -2.211, -0.781], [3.163, -2.488, 7.962]],
  "species": ["Rh", "Rh", "Mg", "Ir"],
  "fractional_positions": [[0.751, 0.751, 0.746], [0.249, 0.249, 0.254], [0.000, 0.000, 0.000], [0.500, 0.500, 0.500]]
}

=====

19.
{
  "formula": "La2FeIr",
  "functional": "PBEsol",
  "state": "relaxed",
  "ef_mev_per_atom": -34.1,
  "dft_energy_ev_per_atom": -7.4040,
  "magnetic_moment_mub_per_fu": 1.5,
  "sg": "P4/mmm, No. 123",
  "dos_ef_per_ev_atom": 1.743,
  "lattice": [[3.577, 0.000, 0.000], [0.000, 3.573, 0.052], [0.000, -0.096, 6.914]],
  "species": ["La", "La", "Ir", "Fe"],
  "fractional_positions": [[0.000, 0.001, 0.757], [0.000, 0.999, 0.243], [0.500, 0.500, 0.000], [0.500, 0.500, 0.500]]
}

=====

20.
{
  "formula": "CrOsO2",
  "functional": "PBEsol",
  "state": "relaxed",
  "dft_energy_ev_per_atom": -8.4915,
  "magnetic_moment_mub_per_fu": 3.1,
  "sg": "R-3m, No. 166",
  "dos_ef_per_ev_atom": 0.571,
  "formation_energy_uncorrected_ev_per_atom": -0.2524,
  "lattice": [[-0.097, 0.506, -2.751], [-0.828, -2.009, -1.764], [-6.479, 1.524, -0.914]],
  "species": ["Os", "O", "O", "Cr"],
  "fractional_positions": [[0.500, 0.500, 0.500], [0.099, 0.099, 0.704], [0.901, 0.901, 0.296], [0.000, 0.000, 0.000]]
}

=====

21.
{
  "formula": "TaInBr2",
  "functional": "PBEsol",
  "state": "relaxed",
  "dft_energy_ev_per_atom": -4.2871,
  "magnetic_moment_mub_per_fu": 0.0,
  "de_polymorph_mev_per_atom": 422,
  "sg": "Cmmm, No. 65",
  "dos_ef_per_ev_atom": 0.821,
  "formation_energy_uncorrected_ev_per_atom": 0.5314,
  "lattice": [[3.179, 0.000, 0.000], [0.000, 5.351, 0.019], [0.000, -1.724, 5.065]],
  "species": ["Ta", "Br", "Br", "In"],
  "fractional_positions": [[0.500, 0.500, 0.500], [0.000, 0.000, 0.500], [0.000, 0.500, 0.000], [0.500, 0.000, 0.000]]
}